Record 1
The following is a PBE calculation of an optimized crystal structure of SmScNiIr, from Alexandria.

Summary:
symmetry	F-43m (216)
N(E_F)	2.5	states/eV/f.u.
total energy	-7.0021	eV/atom
energy of formation from the pure elements	-0.58	eV per atom

Geometry as POSCAR:
```
SmScNiIr
1.0
0.000 3.355 3.355
3.355 0.000 3.355
3.355 3.355 0.000
Sm Sc Ni Ir
1 1 1 1
Direct
0.000 0.000 0.000
0.500 0.500 0.500
0.750 0.750 0.750
0.250 0.250 0.250
```

---

Record 2
The following is a PBE calculation of an optimized crystal structure of LiAg2Pd4Au2, from Alexandria.

Summary:
symmetry	P-1 (2)
N(E_F)	5.2	states/eV/f.u.
total energy	-3.8872	eV/atom
energy of formation from the pure elements	0.00	eV per atom

Geometry as POSCAR:
```
LiAg2Pd4Au2
1.0
5.386 0.000 0.000
2.669 4.824 0.000
2.605 -0.190 5.907
Li Ag Pd Au
1 2 4 2
Direct
0.000 0.000 0.000
0.284 0.839 0.595
0.716 0.161 0.405
0.178 0.361 0.790
0.324 0.639 0.208
0.676 0.361 0.792
0.822 0.639 0.210
0.318 0.152 0.204
0.682 0.848 0.796
```

---

Record 3
The following is a PBE calculation of an optimized crystal structure of Cd2HgAs, from Alexandria.

Summary:
symmetry	I-42d (122)
N(E_F)	2.8	states/eV/f.u.
total energy	-1.5606	eV/atom
energy of formation from the pure elements	0.13	eV per atom
energy above the lowest structure with this stoichiometry	0.48	eV per formula unit

Geometry as POSCAR:
```
Cd2HgAs
1.0
-3.270 3.270 6.255
3.270 -3.270 6.255
3.270 3.270 -6.255
Cd Hg As
4 2 2
Direct
0.074 0.625 0.949
0.375 0.324 0.449
0.676 0.125 0.051
0.875 0.926 0.551
0.250 0.750 0.500
0.500 0.500 0.000
0.000 0.000 0.000
0.750 0.250 0.500
```

---

Record 4
The following is a PBE calculation of an optimized crystal structure of Sm5USb6, from Alexandria.

Summary:
symmetry	C2/m (12)
N(E_F)	10.6	states/eV/f.u.
total energy	-5.9756	eV/atom
formation energy (no corrections)	-1.007	eV/atom

Geometry as POSCAR:
```
Sm5USb6
1.0
3.857 -6.689 0.000
3.857 6.689 0.000
-2.574 0.000 7.274
Sm U Sb
5 1 6
Direct
0.000 0.000 0.000
0.166 0.834 0.500
0.331 0.669 0.000
0.669 0.331 0.000
0.834 0.166 0.500
0.500 0.500 0.500
0.089 0.418 0.253
0.254 0.254 0.748
0.418 0.089 0.253
0.582 0.911 0.747
0.746 0.746 0.252
0.911 0.582 0.747
```

---

Record 5
The following is a PBE calculation of an optimized crystal structure of AcInH6Pt2, from Alexandria.

Summary:
symmetry	C2/c (15)
N(E_F)	1.0	states/eV/f.u.
total energy	-4.2220	eV/atom

Geometry as POSCAR:
```
AcInH6Pt2
1.0
4.998 -4.450 0.000
4.998 4.450 0.000
-3.695 0.000 5.872
Ac In H Pt
2 2 12 4
Direct
0.157 0.843 0.750
0.843 0.157 0.250
0.434 0.566 0.250
0.566 0.434 0.750
0.070 0.731 0.288
0.102 0.209 0.062
0.153 0.580 0.937
0.209 0.102 0.562
0.269 0.930 0.212
0.420 0.847 0.563
0.580 0.153 0.437
0.731 0.070 0.788
0.791 0.898 0.438
0.847 0.420 0.063
0.898 0.791 0.938
0.930 0.269 0.712
0.180 0.339 0.748
0.339 0.180 0.248
0.661 0.820 0.752
0.820 0.661 0.252
```

---

Record 6
The following is a PBE calculation of an optimized crystal structure of YCoIr3, from Alexandria.

Summary:
symmetry	Pm-3m (221)
N(E_F)	3.6	states/eV/f.u.
total energy	-7.5995	eV/atom
energy of formation from the pure elements	0.43	eV per atom
energy above the lowest structure with this stoichiometry	0.00	eV per formula unit

Geometry as POSCAR:
```
YCoIr3
1.0
4.538 0.000 0.000
0.000 4.538 0.000
0.000 0.000 4.538
Y Co Ir
1 1 3
Direct
0.000 0.000 0.000
0.500 0.500 0.500
0.000 0.500 0.500
0.500 0.000 0.500
0.500 0.500 0.000
```

---

Record 7
The following is a PBE calculation of an optimized crystal structure of CoCuBr3, from Alexandria.

Summary:
symmetry	C2/m (12)
N(E_F)	1.9	states/eV/f.u.
total energy	-3.4544	eV/atom
formation energy (no corrections)	-0.210	eV/atom
energy above the lowest structure with this stoichiometry	0.00	eV per formula unit

Geometry as POSCAR:
```
CoCuBr3
1.0
9.398 -1.876 0.000
9.398 1.876 0.000
-4.334 0.000 9.266
Co Cu Br
2 2 6
Direct
0.090 0.090 0.330
0.910 0.910 0.670
0.418 0.418 0.052
0.582 0.582 0.948
0.052 0.052 0.766
0.129 0.129 0.134
0.357 0.357 0.515
0.643 0.643 0.485
0.871 0.871 0.866
0.948 0.948 0.234
```

---

Record 8
The following is a PBE calculation of an optimized crystal structure of Ac2PmAg3, from Alexandria.

Summary:
symmetry	P4/mmm (123)
N(E_F)	3.8	states/eV/f.u.
total energy	-3.8464	eV/atom
energy of formation from the pure elements	-0.26	eV per atom

Geometry as POSCAR:
```
Ac2PmAg3
1.0
3.880 0.000 0.000
0.000 3.880 0.000
0.000 0.000 11.669
Ac Pm Ag
2 1 3
Direct
0.000 0.000 0.173
0.000 0.000 0.827
0.000 0.000 0.500
0.500 0.500 0.000
0.500 0.500 0.355
0.500 0.500 0.645
```

---

Record 9
The following is a PBE calculation of an optimized crystal structure of CeDy6Ho3, from Alexandria.

Summary:
symmetry	Cmc2_1 (36)
N(E_F)	16.3	states/eV/f.u.
total energy	-4.5654	eV/atom
energy of formation from the pure elements	0.16	eV per atom
energy above the lowest structure with this stoichiometry	1.23	eV per formula unit

Geometry as POSCAR:
```
CeDy6Ho3
1.0
5.494 -9.383 0.000
5.494 9.383 0.000
0.000 0.000 6.120
Ce Dy Ho
2 12 6
Direct
0.207 0.793 0.500
0.793 0.207 0.000
0.037 0.456 0.738
0.049 0.951 0.285
0.279 0.721 0.994
0.291 0.381 0.894
0.381 0.291 0.394
0.456 0.037 0.238
0.544 0.963 0.738
0.619 0.709 0.894
0.709 0.619 0.394
0.721 0.279 0.494
0.951 0.049 0.785
0.963 0.544 0.238
0.060 0.282 0.316
0.282 0.060 0.816
0.387 0.613 0.429
0.613 0.387 0.929
0.718 0.940 0.316
0.940 0.718 0.816
```

---

Record 10
The following is a PBE calculation of an optimized crystal structure of Pm3IBr2O6, from Alexandria.

Summary:
symmetry	C2/m (12)
total energy	-5.9139	eV/atom
formation energy (no corrections)	-1.839	eV/atom

Geometry as POSCAR:
```
Pm3IBr2O6
1.0
6.061 -3.456 0.000
6.061 3.456 0.000
-1.150 0.000 5.731
Pm I Br O
3 1 2 6
Direct
0.000 0.000 0.000
0.000 0.500 0.500
0.500 0.000 0.500
0.500 0.500 0.500
0.217 0.217 0.872
0.783 0.783 0.128
0.193 0.688 0.702
0.312 0.807 0.298
0.332 0.332 0.343
0.668 0.668 0.657
0.688 0.193 0.702
0.807 0.312 0.298
```

---

Record 11
The following is a PBE calculation of an optimized crystal structure of Rb2NaPbCl6, from Alexandria.

Summary:
symmetry	P2_1/c (14)
N(E_F)	5.7	states/eV/f.u.
total energy	-3.2935	eV/atom
formation energy (no corrections)	-1.489	eV/atom

Geometry as POSCAR:
```
Rb2NaPbCl6
1.0
7.572 0.000 0.000
0.000 7.797 0.000
-7.557 0.000 10.805
Rb Na Pb Cl
4 2 2 12
Direct
0.234 0.059 0.250
0.234 0.441 0.750
0.766 0.559 0.250
0.766 0.941 0.750
0.000 0.000 0.500
0.000 0.500 0.000
0.500 0.000 0.000
0.500 0.500 0.500
0.168 0.202 0.958
0.168 0.298 0.458
0.261 0.711 0.960
0.261 0.789 0.460
0.333 0.017 0.753
0.333 0.483 0.253
0.667 0.517 0.747
0.667 0.983 0.247
0.739 0.211 0.540
0.739 0.289 0.040
0.832 0.702 0.542
0.832 0.798 0.042
```

---

Record 12
The following is a PBE calculation of an optimized crystal structure of CsZnBi, from Alexandria.

Summary:
symmetry	P-6m2 (187)
N(E_F)	1.0	states/eV/f.u.
total energy	-2.0020	eV/atom
energy of formation from the pure elements	0.00	eV per atom

Geometry as POSCAR:
```
CsZnBi
1.0
5.738 0.000 0.000
-2.869 4.969 0.000
0.000 0.000 7.722
Cs Zn Bi
2 2 2
Direct
0.000 0.000 0.000
0.000 0.000 0.500
0.667 0.333 0.173
0.667 0.333 0.827
0.333 0.667 0.288
0.333 0.667 0.712
```

---

Record 13
The following is a PBE calculation of an optimized crystal structure of Ga3CuRu, from Alexandria.

Summary:
symmetry	Pm-3m (221)
N(E_F)	3.0	states/eV/f.u.
total energy	-4.2173	eV/atom
energy of formation from the pure elements	0.27	eV per atom
energy above the lowest structure with this stoichiometry	0.00	eV per formula unit

Geometry as POSCAR:
```
Ga3CuRu
1.0
4.748 0.000 0.000
0.000 4.748 0.000
0.000 0.000 4.748
Ga Cu Ru
3 1 1
Direct
0.000 0.000 0.500
0.000 0.500 0.000
0.500 0.000 0.000
0.500 0.500 0.500
0.000 0.000 0.000
```

---

Record 14
The following is a PBE calculation of an optimized crystal structure of NaSi2Rh2, from Alexandria.

Summary:
symmetry	I4/mmm (139)
N(E_F)	2.2	states/eV/f.u.
total energy	-6.0362	eV/atom
formation energy (no corrections)	-0.663	eV/atom

Geometry as POSCAR:
```
NaSi2Rh2
1.0
-2.045 2.045 4.935
2.045 -2.045 4.935
2.045 2.045 -4.935
Na Si Rh
1 2 2
Direct
0.000 0.000 0.000
0.373 0.373 0.000
0.627 0.627 0.000
0.250 0.750 0.500
0.750 0.250 0.500
```

---

Record 15
The following is a PBE calculation of an optimized crystal structure of PmY2Ag, from Alexandria.

Summary:
symmetry	R3m (160)
N(E_F)	5.5	states/eV/f.u.
total energy	-5.1404	eV/atom
energy of formation from the pure elements	-0.01	eV per atom
energy above the lowest structure with this stoichiometry	0.52	eV per formula unit

Geometry as POSCAR:
```
PmY2Ag
1.0
1.831 1.057 10.350
-1.831 1.057 10.350
0.000 -2.114 10.350
Pm Y Ag
1 2 1
Direct
0.000 0.000 0.000
0.239 0.239 0.239
0.428 0.428 0.428
0.834 0.834 0.834
```

---

Record 16
The following is a PBE calculation of an optimized crystal structure of NbRuO3, from Alexandria.

Summary:
symmetry	Pm-3m (221)
N(E_F)	5.2	states/eV/f.u.
total energy	-7.1907	eV/atom
formation energy (no corrections)	-0.347	eV/atom

Geometry as POSCAR:
```
NbRuO3
1.0
3.846 0.000 0.000
0.000 3.846 0.000
0.000 0.000 3.846
Nb Ru O
1 1 3
Direct
0.000 0.000 0.000
0.500 0.500 0.500
0.000 0.500 0.500
0.500 0.000 0.500
0.500 0.500 0.000
```

---

Record 17
The following is a PBE calculation of an optimized crystal structure of Nd3US6, from Alexandria.

Summary:
symmetry	Cmc2_1 (36)
N(E_F)	4.5	states/eV/f.u.
total energy	-6.8262	eV/atom
formation energy (no corrections)	-1.791	eV/atom

Geometry as POSCAR:
```
Nd3US6
1.0
5.525 -6.800 0.000
5.525 6.800 0.000
0.000 0.000 6.977
Nd U S
6 2 12
Direct
0.098 0.902 0.500
0.205 0.413 0.404
0.413 0.205 0.904
0.587 0.795 0.404
0.795 0.587 0.904
0.902 0.098 0.000
0.337 0.663 0.892
0.663 0.337 0.392
0.074 0.598 0.693
0.134 0.191 0.705
0.191 0.134 0.205
0.272 0.728 0.254
0.402 0.926 0.693
0.491 0.509 0.636
0.509 0.491 0.136
0.598 0.074 0.193
0.728 0.272 0.754
0.809 0.866 0.705
0.866 0.809 0.205
0.926 0.402 0.193
```

---

Record 18
The following is a PBE calculation of an optimized crystal structure of NdEr4Sc4, from Alexandria.

Summary:
symmetry	I4/mmm (139)
N(E_F)	13.4	states/eV/f.u.
total energy	-5.3163	eV/atom
energy of formation from the pure elements	0.06	eV per atom
energy above the lowest structure with this stoichiometry	0.00	eV per formula unit

Geometry as POSCAR:
```
NdEr4Sc4
1.0
-5.133 5.133 2.404
5.133 -5.133 2.404
5.133 5.133 -2.404
Nd Er Sc
1 4 4
Direct
0.000 0.000 0.000
0.000 0.330 0.330
0.000 0.670 0.670
0.330 0.000 0.330
0.670 0.000 0.670
0.332 0.332 0.663
0.332 0.668 0.000
0.668 0.332 0.000
0.668 0.668 0.337
```

---

Record 19
The following is a PBE calculation of an optimized crystal structure of AcPrFeN2, from Alexandria.

Summary:
symmetry	P2/c (13)
N(E_F)	1.3	states/eV/f.u.
total energy	-7.4191	eV/atom
formation energy (no corrections)	-0.619	eV/atom

Geometry as POSCAR:
```
AcPrFeN2
1.0
5.742 0.000 0.000
0.000 4.907 0.000
-0.933 0.000 7.004
Ac Pr Fe N
2 2 2 4
Direct
0.000 0.091 0.250
0.000 0.909 0.750
0.500 0.477 0.750
0.500 0.523 0.250
0.500 0.000 0.000
0.500 0.000 0.500
0.254 0.253 0.980
0.254 0.747 0.480
0.746 0.253 0.520
0.746 0.747 0.020
```

---

Record 20
The following is a PBE calculation of an optimized crystal structure of Np4U2P3, from Alexandria.

Summary:
symmetry	C2/m (12)
N(E_F)	16.2	states/eV/f.u.
total energy	-10.6973	eV/atom
energy of formation from the pure elements	-0.63	eV per atom

Geometry as POSCAR:
```
Np4U2P3
1.0
4.515 -2.249 0.000
4.515 2.249 0.000
-0.960 0.000 7.899
Np U P
4 2 3
Direct
0.009 0.009 0.154
0.317 0.317 0.505
0.683 0.683 0.495
0.991 0.991 0.846
0.347 0.347 0.827
0.653 0.653 0.173
0.000 0.000 0.500
0.333 0.333 0.168
0.667 0.667 0.832
```

---

Record 21
The following is a PBE calculation of an optimized crystal structure of TbThO, from Alexandria.

Summary:
symmetry	P3m1 (156)
N(E_F)	2.7	states/eV/f.u.
total energy	-7.3201	eV/atom
formation energy (no corrections)	-1.651	eV/atom

Geometry as POSCAR:
```
TbThO
1.0
3.701 0.000 0.000
-1.851 3.205 0.000
0.000 0.000 5.760
Tb Th O
1 1 1
Direct
0.000 0.000 0.000
0.667 0.333 0.536
0.333 0.667 0.770
```

---

How do the records compare in V? In the order shown, they have 75.5; 153.5; 133.8; 375.4; 130.6; 93.4; 163.4; 175.7; 315.5; 240.1; 319.0; 110.1; 107.0; 82.6; 120.2; 56.9; 262.1; 253.4; 98.7; 160.4; 68.3 Å³/f.u..